Entry 1:
Density functional theory data (GGA-PBEsol) for ZnOsSCl2 after structural relaxation.

POSCAR file:
```
ZnOsSCl2
1.0
-2.5304 0.9546 -3.4743
-2.9561 -3.6598 1.1474
-2.6392 2.9921 2.7443
Zn Os S Cl
1 1 1 2
direct
0.5000 0.5000 0.5000 Zn
0.0000 0.0000 0.0000 Os
0.5000 0.0000 0.0000 S
0.0000 0.0000 0.5000 Cl
0.0000 0.5000 0.0000 Cl
```

Results
E, eV/cell: -20.86

=====

Entry 2:
Density functional theory data (GGA-PBEsol) for CsPbO2 after structural relaxation.

POSCAR file:
```
CsPbO2
1.0
6.4730 0.0000 0.0000
-3.2365 5.6352 0.0809
0.0000 3.6409 5.3520
Pb Cs O
2 2 4
direct
0.7500 0.5000 0.7500 Pb
0.0000 0.0000 0.0000 Pb
0.2500 0.5000 0.2500 Cs
0.5000 0.0000 0.5000 Cs
0.0173 0.7500 0.8750 O
0.7327 0.7500 0.3750 O
0.3750 0.2500 0.0173 O
0.8750 0.2500 0.7327 O
```

Results
E, eV/cell: -39.88

=====

Entry 3:
Density functional theory data (GGA-PBEsol) for Al2In after structural relaxation.

POSCAR file:
```
Al2In
1.0
-1.3482 -0.3436 2.6760
3.1921 -1.8949 1.3649
0.9733 5.3954 -0.5165
Al In
2 1
direct
0.3179 0.3179 0.6359 Al
0.6821 0.6821 0.3641 Al
0.0000 0.0000 0.0000 In
```

Results
E, eV/cell: -10.74
Energy relative to the elements, eV/f.u.: 0.43

=====

Entry 4:
Density functional theory data (GGA-PBEsol) for Mn2CuCl2 after structural relaxation.

POSCAR file:
```
Mn2CuCl2
1.0
4.1050 0.0000 0.0000
0.0000 4.1050 0.0000
-2.0525 -2.0525 5.5153
Mn Cu Cl
2 1 2
direct
0.3818 0.3818 0.7636 Mn
0.6182 0.6182 0.2364 Mn
0.0000 0.0000 0.0000 Cu
0.2500 0.7500 0.5000 Cl
0.7500 0.2500 0.5000 Cl
```

Results
E, eV/cell: -26.18

=====

Entry 5:
Density functional theory data (GGA-PBEsol) for TiSiRhW2 after structural relaxation.

POSCAR file:
```
TiSiRhW2
1.0
4.2855 0.0000 0.0000
0.0000 4.4568 0.0000
0.0000 0.0000 4.4568
Si Rh W Ti
1 1 2 1
direct
0.0000 0.0000 0.0000 Si
0.5000 0.0000 0.0000 Rh
0.0000 0.0000 0.5000 W
0.0000 0.5000 0.0000 W
0.5000 0.5000 0.5000 Ti
```

Results
E, eV/cell: -46.00

=====

Entry 6:
Density functional theory data (GGA-PBEsol) for ZrBeW after structural relaxation.

POSCAR file:
```
ZrBeW
1.0
-2.3544 2.9638 -1.9888
-3.2291 -1.1852 -2.5399
-4.0407 0.6903 1.2160
Be Zr W
1 1 1
direct
0.5000 0.5000 0.5000 Be
0.0000 0.0000 0.0000 Zr
0.2500 0.2500 0.2500 W
```

Results
E, eV/cell: -23.09
Energy relative to the elements, eV/f.u.: 3.81
Energy relative to the lowest polymorph listed for this composition, eV per atom: 1.079

=====

Entry 7:
Density functional theory data (GGA-PBEsol) for LaMoP3 after structural relaxation.

POSCAR file:
```
LaMoP3
1.0
4.6609 0.0000 0.0000
0.0000 4.6609 0.0000
0.0000 0.0000 4.6609
P Mo La
3 1 1
direct
0.0000 0.5000 0.0000 P
0.0000 0.0000 0.5000 P
0.5000 0.0000 0.0000 P
0.0000 0.0000 0.0000 Mo
0.5000 0.5000 0.5000 La
```

Results
E, eV/cell: -36.74
Energy relative to the elements, eV/f.u.: -2.25

=====

Entry 8:
Density functional theory data (GGA-PBEsol) for LiSc2HgO after structural relaxation.

POSCAR file:
```
LiSc2HgO
1.0
-2.5641 2.1361 2.9829
-3.5708 -3.7452 -0.3875
2.3109 -2.6016 3.8495
Sc Hg O Li
2 1 1 1
direct
0.0000 0.0000 0.5000 Sc
0.0000 0.5000 0.0000 Sc
0.0000 0.0000 0.0000 Hg
0.5000 0.5000 0.5000 O
0.5000 0.0000 0.0000 Li
```

Results
E, eV/cell: -19.05

=====

Entry 9:
Density functional theory data (GGA-PBEsol) for TaBiIr2Pb after structural relaxation.

POSCAR file:
```
TaBiIr2Pb
1.0
-0.4357 -3.7126 3.0386
-2.1662 -2.5701 -3.4508
4.7673 -1.8693 -1.6003
Pb Ir Bi Ta
1 2 1 1
direct
0.5000 0.5000 0.5000 Pb
0.0000 0.5000 0.0000 Ir
0.5000 0.0000 0.0000 Ir
0.0000 0.0000 0.5000 Bi
0.0000 0.0000 0.0000 Ta
```

Results
E, eV/cell: -35.01
Energy relative to the elements, eV/f.u.: 5.48

=====

Entry 10:
Density functional theory data (GGA-PBEsol) for LiMgCd2 after structural relaxation.

POSCAR file:
```
LiMgCd2
1.0
-0.7876 -3.1994 -1.4692
4.4233 -1.2439 0.3375
-0.8134 -1.7256 4.1937
Mg Cd Li
1 2 1
direct
0.5000 0.5000 0.5000 Mg
0.0000 0.5000 0.0000 Cd
0.0000 0.0000 0.5000 Cd
0.5000 0.0000 0.0000 Li
```

Results
E, eV/cell: -6.86
Energy relative to the elements, eV/f.u.: -0.78

=====

Entry 11:
Density functional theory data (GGA-PBEsol) for AgRhF6 after structural relaxation.

POSCAR file:
```
AgRhF6
1.0
5.0571 0.0015 0.0154
2.5256 4.3815 0.0131
2.4982 1.4498 9.6674
Ag Rh F
2 2 12
direct
0.5000 0.5000 0.5000 Ag
0.0000 0.0000 0.0000 Ag
0.7498 0.7501 0.7500 Rh
0.2502 0.2499 0.2500 Rh
0.4748 0.8038 0.6357 F
0.5252 0.1962 0.3643 F
0.8036 0.0856 0.6357 F
0.1964 0.9144 0.3643 F
0.6960 0.4146 0.8643 F
0.3040 0.5854 0.1357 F
0.0248 0.6964 0.8643 F
0.9752 0.3036 0.1357 F
0.5855 0.9749 0.1357 F
0.4145 0.0251 0.8643 F
0.9148 0.5248 0.3643 F
0.0852 0.4752 0.6357 F
```

Results
E, eV/cell: -68.36

=====

Entry 12:
Density functional theory data (GGA-PBEsol) for ZrTlCo3 after structural relaxation.

POSCAR file:
```
ZrTlCo3
1.0
4.5892 0.0000 0.0000
0.0000 4.5892 0.0000
0.0000 0.0000 4.5892
Tl Co Zr
1 3 1
direct
0.0000 0.0000 0.0000 Tl
0.0000 0.5000 0.0000 Co
0.0000 0.0000 0.5000 Co
0.5000 0.0000 0.0000 Co
0.5000 0.5000 0.5000 Zr
```

Results
E, eV/cell: -27.56
Energy relative to the elements, eV/f.u.: 7.37

=====

Entry 13:
Density functional theory data (GGA-PBEsol) for ZrScBe2 after structural relaxation.

POSCAR file:
```
ZrScBe2
1.0
3.7945 0.0000 0.0000
0.0000 3.7945 0.0000
-1.8973 -1.8973 4.2375
Sc Be Zr
1 2 1
direct
0.5000 0.5000 0.0000 Sc
0.0000 0.0000 0.0000 Be
0.7500 0.2500 0.5000 Be
0.2500 0.7500 0.5000 Zr
```

Results
E, eV/cell: -22.92
Energy relative to the elements, eV/f.u.: 0.77
Energy relative to the lowest polymorph listed for this composition, eV per atom: 0.262

=====

Entry 14:
Density functional theory data (GGA-PBEsol) for Li3CuS2 after structural relaxation.

POSCAR file:
```
Li3CuS2
1.0
5.6413 0.0000 0.0000
0.0000 5.9679 0.0000
2.8206 2.9839 5.5566
S Cu Li
4 2 6
direct
0.5929 0.3666 0.2669 S
0.8598 0.1334 0.7331 S
0.1402 0.8666 0.2669 S
0.4071 0.6334 0.7331 S
0.0000 0.5000 0.0000 Cu
0.0000 0.0000 0.0000 Cu
0.7658 0.5158 0.4684 Li
0.2342 0.9842 0.5316 Li
0.2342 0.4842 0.5316 Li
0.7658 0.0158 0.4684 Li
0.5000 0.7500 0.0000 Li
0.5000 0.2500 0.0000 Li
```

Results
E, eV/cell: -50.52

=====

Entry 15:
Density functional theory data (GGA-PBEsol) for Ag2PtAu after structural relaxation.

POSCAR file:
```
Ag2PtAu
1.0
-2.1437 1.7785 0.1771
-2.1521 -2.3439 -2.5122
-2.0402 -2.9030 4.4562
Au Pt Ag
1 1 2
direct
0.0000 0.0000 0.5036 Au
0.5000 0.5000 0.7505 Pt
0.0000 0.0000 0.9976 Ag
0.5000 0.5000 0.2483 Ag
```

Results
E, eV/cell: -17.52
Energy relative to the elements, eV/f.u.: -0.01
Energy relative to the lowest polymorph listed for this composition, eV per atom: 0.039

=====

Entry 16:
Density functional theory data (GGA-PBEsol) for SrZrZn2 after structural relaxation.

POSCAR file:
```
SrZrZn2
1.0
-3.0231 -2.7943 2.7129
-0.4399 -4.8140 -0.9688
1.8608 -3.3244 3.1293
Sr Zn Zr
1 2 1
direct
0.5000 0.5000 0.5000 Sr
0.0000 0.0000 0.0000 Zn
0.2500 0.2500 0.2500 Zn
0.7500 0.7500 0.7500 Zr
```

Results
E, eV/cell: -12.18
Energy relative to the elements, eV/f.u.: 1.91

=====

Entry 17:
Density functional theory data (GGA-PBEsol) for Si2TcNi after structural relaxation.

POSCAR file:
```
Si2TcNi
1.0
3.0633 0.0000 0.0000
0.0000 3.7820 0.0000
-1.5317 -1.8910 4.1595
Ni Si Tc
1 2 1
direct
0.2690 0.7690 0.5380 Ni
0.9773 0.9773 0.9547 Si
0.7498 0.2498 0.4996 Si
0.5039 0.5039 0.0077 Tc
```

Results
E, eV/cell: -30.73

=====

Entry 18:
Density functional theory data (GGA-PBEsol) for BaTi2O5 after structural relaxation.

POSCAR file:
```
BaTi2O5
1.0
3.9114 0.0000 0.0000
0.0000 10.2573 0.0000
0.0000 0.0000 10.8843
Ba Ti O
4 8 20
direct
0.7500 0.9494 0.1763 Ba
0.2500 0.5506 0.6763 Ba
0.7500 0.4494 0.3237 Ba
0.2500 0.0506 0.8237 Ba
0.2500 0.7671 0.3970 Ti
0.2500 0.1461 0.4083 Ti
0.7500 0.8539 0.5917 Ti
0.2500 0.6461 0.0917 Ti
0.2500 0.2671 0.1030 Ti
0.7500 0.7329 0.8970 Ti
0.7500 0.2329 0.6030 Ti
0.7500 0.3539 0.9083 Ti
0.2500 0.7652 0.2196 O
0.7500 0.6734 0.0700 O
0.2500 0.6987 0.9162 O
0.2500 0.4872 0.1496 O
0.7500 0.5128 0.8504 O
0.7500 0.3013 0.0838 O
0.7500 0.0128 0.6496 O
0.7500 0.7348 0.7196 O
0.2500 0.1987 0.5838 O
0.7500 0.4013 0.5753 O
0.2500 0.2652 0.2804 O
0.7500 0.1734 0.4300 O
0.2500 0.3266 0.9300 O
0.2500 0.0987 0.0753 O
0.2500 0.5987 0.4247 O
0.2500 0.8266 0.5700 O
0.7500 0.8013 0.4162 O
0.2500 0.9872 0.3504 O
0.7500 0.9013 0.9247 O
0.7500 0.2348 0.7804 O
```

Results
E, eV/cell: -279.88

=====

Entry 19:
Density functional theory data (GGA-PBEsol) for ZnCu after structural relaxation.

POSCAR file:
```
ZnCu
1.0
2.6024 0.0000 0.0000
0.0000 4.2356 0.0000
0.0000 0.0000 4.4762
Zn Cu
2 2
direct
0.5000 0.0000 0.0946 Zn
0.0000 0.5000 0.9054 Zn
0.0000 0.0000 0.5855 Cu
0.5000 0.5000 0.4145 Cu
```

Results
E, eV/cell: -12.11
Energy relative to the elements, eV/f.u.: -0.14

=====

Entry 20:
Density functional theory data (GGA-PBEsol) for TiCO2F after structural relaxation.

POSCAR file:
```
TiCO2F
1.0
3.5602 0.0000 0.0000
0.0000 3.5602 0.0000
0.0000 0.0000 3.4340
C F O Ti
1 1 2 1
direct
0.0000 0.0000 0.0000 C
0.0000 0.0000 0.5000 F
0.0000 0.5000 0.0000 O
0.5000 0.0000 0.0000 O
0.5000 0.5000 0.5000 Ti
```

Results
E, eV/cell: -31.21